#P
Entry from Alexandria: a geometry-optimized ReSb3I structure (PBE).

Structure (extended XYZ):
```
5
Lattice="5.687 0.000 0.000 0.000 5.687 0.000 0.000 0.000 5.687" Properties=species:S:1:pos:R:3 pbc="T T T"
Re 0.000 0.000 0.000
Sb 0.000 2.843 2.843
Sb 2.843 0.000 2.843
Sb 2.843 2.843 0.000
I 2.843 2.843 2.843
```

crystal system	cubic
DOS(E_F)	4.5	states/eV per cell


#Q
Entry from Alexandria: a geometry-optimized ReSb3I structure (PBE).

Structure (extended XYZ):
```
5
Lattice="5.243 0.000 0.000 0.000 5.243 0.000 0.000 0.000 5.243" Properties=species:S:1:pos:R:3 pbc="T T T"
Re 0.000 0.000 0.000
Sb 0.000 0.000 2.622
Sb 0.000 2.622 0.000
Sb 2.622 0.000 0.000
I 2.622 2.622 2.622
```

crystal system	cubic
DOS(E_F)	6.5	states/eV per cell


On energetic grounds, #Q is preferred over the next structure by 1.701 eV/atom.